# 1
AlCoCuBi | PBE | optimized geometry

Calculated values
For the volume, the calculation gives 16.1 Å³/atom. For the total energy, the calculation gives -4.361 eV per atom.

Cell: 4.502 4.502 4.502 Å, 60.00 60.00 60.00°
Element x y z (fractional)
Al 0.000 0.000 0.000
Bi 0.500 0.500 0.500
Co 0.250 0.250 0.250
Cu 0.750 0.750 0.750

# 2
AlCoCuBi | PBE | optimized geometry

Calculated values
For the volume, the calculation gives 16.9 Å³/atom. For the total energy, the calculation gives -4.147 eV per atom.

Cell: 4.576 4.576 4.576 Å, 60.00 60.00 60.00°
Element x y z (fractional)
Al 0.250 0.250 0.250
Bi 0.500 0.500 0.500
Co 0.000 0.000 0.000
Cu 0.750 0.750 0.750

# 3
LiAlCoBi | PBE | optimized geometry

Calculated values
For the volume, the calculation gives 17.4 Å³/atom. For the total energy, the calculation gives -3.937 eV per atom.

Cell: 4.613 4.613 4.613 Å, 60.00 60.00 60.00°
Element x y z (fractional)
Al 0.250 0.250 0.250
Bi 0.500 0.500 0.500
Co 0.000 0.000 0.000
Li 0.750 0.750 0.750

# 4
LiAlCoBi | PBE | optimized geometry

Calculated values
For the volume, the calculation gives 15.9 Å³/atom. For the total energy, the calculation gives -4.205 eV per atom.

Cell: 4.481 4.481 4.481 Å, 60.00 60.00 60.00°
Element x y z (fractional)
Al 0.000 0.000 0.000
Bi 0.500 0.500 0.500
Co 0.250 0.250 0.250
Li 0.750 0.750 0.750

# 5
NaAlCoBi | PBE | optimized geometry

Calculated values
For the volume, the calculation gives 20.5 Å³/atom. For the total energy, the calculation gives -3.539 eV per atom.

Cell: 4.873 4.873 4.873 Å, 60.00 60.00 60.00°
Element x y z (fractional)
Al 0.500 0.500 0.500
Bi 0.250 0.250 0.250
Co 0.000 0.000 0.000
Na 0.750 0.750 0.750

# 6
NaAlCoBi | PBE | optimized geometry

Calculated values
For the volume, the calculation gives 18.0 Å³/atom. For the total energy, the calculation gives -3.777 eV per atom.

Cell: 4.671 4.671 4.671 Å, 60.00 60.00 60.00°
Element x y z (fractional)
Al 0.000 0.000 0.000
Bi 0.500 0.500 0.500
Co 0.250 0.250 0.250
Na 0.750 0.750 0.750